Density functional theory data (PBE-GGA) for an optimized crystal structure of LiNdAs2.

extended XYZ file:
```
8
Lattice="3.979 0.000 0.000 0.000 3.979 0.000 0.000 0.000 10.707" Properties=species:S:1:pos:R:3 pbc="T T T"
Li 1.989 1.989 0.000
Li 0.000 0.000 0.000
Nd 0.000 1.989 2.894
Nd 1.989 0.000 7.812
As 1.989 0.000 1.698
As 0.000 1.989 9.008
As 0.000 0.000 5.353
As 1.989 1.989 5.353
```

Values from the calculation:
- Fermi-level density of states: 0.84 states/eV/f.u.
- Symmetry: P4/nmm, No. 129
- Energy of formation: -23.11 kcal/mol of atoms
- Total DFT energy (no corrections): -40.0 eV for the cell shown